Entry 1:
CeHf3H | PBE | relaxed

Output
Spin magnetization ... 0.00 μB per atom
ρ ... 11.77 g cm⁻³
Total DFT energy (no corrections) ... -39.0 eV/f.u.

Geometry as POSCAR:
```
CeHf3H
1.0
4.571 0.000 0.000
0.000 4.571 0.000
0.000 0.000 4.571
Hf Ce H
3 1 1
Direct
0.000 0.500 0.000
0.500 0.000 0.000
0.000 0.000 0.500
0.500 0.500 0.500
0.000 0.000 0.000
```

Entry 2:
CeHfH2 | PBE | relaxed

Output
Spin magnetization ... 0.00 μB per atom
ρ ... 10.10 g cm⁻³
Total DFT energy (no corrections) ... -23.4 eV/f.u.

Geometry as POSCAR:
```
CeHfH2
1.0
3.206 0.000 0.000
1.603 2.776 0.000
1.603 0.925 5.921
H Ce Hf
2 1 1
Direct
0.272 0.272 0.184
0.063 0.063 0.811
0.495 0.495 0.514
0.670 0.670 0.991
```

Entry 3:
Ce3HfH | PBE | relaxed

Output
Spin magnetization ... 0.00 μB per atom
ρ ... 9.00 g cm⁻³
Total DFT energy (no corrections) ... -31.1 eV/f.u.

Geometry as POSCAR:
```
Ce3HfH
1.0
4.802 0.000 0.000
0.000 4.802 0.000
0.000 0.000 4.802
Ce Hf H
3 1 1
Direct
0.000 0.000 0.500
0.500 0.000 0.000
0.000 0.500 0.000
0.500 0.500 0.500
0.000 0.000 0.000
```

Entry 4:
CeHfH4 | PBE | relaxed

Output
Spin magnetization ... 0.13 μB per atom
ρ ... 8.35 g cm⁻³
Total DFT energy (no corrections) ... -32.2 eV/f.u.

Geometry as POSCAR:
```
CeHfH4
1.0
-0.519 3.752 3.482
0.314 -3.466 3.782
4.924 0.418 -3.518
H Hf Ce
8 2 2
Direct
0.211 0.500 0.500
0.500 0.212 0.000
0.211 0.000 0.500
0.789 0.000 0.500
0.000 0.212 0.000
0.500 0.788 0.000
0.000 0.788 0.000
0.789 0.500 0.500
0.125 0.875 0.750
0.875 0.125 0.250
0.625 0.375 0.750
0.375 0.625 0.250
```

Which formula does entry 4 have? CeHfH4

Which formula does entry 1 have? CeHf3H

Please write out number 1 again, unchanged.
CeHf3H | PBE | relaxed

Output
Spin magnetization ... 0.00 μB per atom
ρ ... 11.77 g cm⁻³
Total DFT energy (no corrections) ... -39.0 eV/f.u.

Geometry as POSCAR:
```
CeHf3H
1.0
4.571 0.000 0.000
0.000 4.571 0.000
0.000 0.000 4.571
Hf Ce H
3 1 1
Direct
0.000 0.500 0.000
0.500 0.000 0.000
0.000 0.000 0.500
0.500 0.500 0.500
0.000 0.000 0.000
```